(1)
# Ho3SeN2 PBE relaxed
# **Theoretical density**: 9.67 Mg/m³
# **Uncorrected energy**: -7.380 eV per atom
data_Ho3SeN2
_chemical_formula_sum 'Ho6 Se2 N4'
_space_group_name_H-M_alt 'P 63/m m c'
_space_group_IT_number 194
_space_group_name_Hall '-P 6c 2c'
_cell_length_a 3.5765
_cell_length_b 3.5765
_cell_length_c 18.6651
_cell_angle_alpha 90.00
_cell_angle_beta 90.00
_cell_angle_gamma 120.00
loop_
_atom_site_label
_atom_site_fract_x
_atom_site_fract_y
_atom_site_fract_z
Ho1 0.0000 0.0000 0.0000
Ho2 0.3333 0.6667 0.1421
Se1 0.0000 0.0000 0.2500
N1 0.3333 0.6667 0.5775

(2)
# Ho2SeN PBE relaxed
# **ΔE to the lowest computed polymorph**: 0 meV per atom
# **Theoretical density**: 9.38 Mg/m³
data_Ho2SeN
_chemical_formula_sum 'Ho4 Se2 N2'
_space_group_name_H-M_alt 'P 63/m m c'
_space_group_IT_number 194
_space_group_name_Hall '-P 6c 2c'
_cell_length_a 3.6428
_cell_length_b 3.6428
_cell_length_c 13.0316
_cell_angle_alpha 90.00
_cell_angle_beta 90.00
_cell_angle_gamma 120.00
loop_
_atom_site_label
_atom_site_fract_x
_atom_site_fract_y
_atom_site_fract_z
Ho1 0.3333 0.6667 0.0987
Se1 0.3333 0.6667 0.7500
N1 0.0000 0.0000 0.0000

(3)
# Ho8Te4Se3N PBE relaxed
# **Theoretical density**: 8.62 Mg/m³
# **Uncorrected energy**: -5.710 eV per atom
data_Ho8Te4Se3N
_chemical_formula_sum 'Ho24 Te12 Se9 N3'
_space_group_name_H-M_alt 'R -3 m'
_space_group_IT_number 166
_space_group_name_Hall '-R 3 2"'
_cell_length_a 8.1794
_cell_length_b 8.1794
_cell_length_c 20.7465
_cell_angle_alpha 90.00
_cell_angle_beta 90.00
_cell_angle_gamma 120.00
loop_
_atom_site_label
_atom_site_fract_x
_atom_site_fract_y
_atom_site_fract_z
Ho1 0.0000 0.0000 0.2394
Ho2 0.0395 0.5197 0.2330
Te1 0.0000 0.0000 0.0000
Te2 0.0000 0.5000 0.0000
Se1 0.0000 0.5000 0.5000
N1 0.0000 0.0000 0.5000

(4)
# HoThSeN PBE relaxed
# **Theoretical density**: 9.30 Mg/m³
# **Uncorrected energy**: -7.366 eV per atom
data_HoThSeN
_chemical_formula_sum 'Ho2 Th2 Se2 N2'
_space_group_name_H-M_alt 'P 4/n m m'
_space_group_IT_number 129
_cell_length_a 4.232
_cell_length_b 4.232
_cell_length_c 9.771
_cell_angle_alpha 90.00
_cell_angle_beta 90.00
_cell_angle_gamma 90.00
loop_
_space_group_symop_operation_xyz
'x,y,z'
'-x,-y,-z'
'-y+1/2,x,z'
'y+1/2,-x,-z'
'-x+1/2,-y+1/2,z'
'x+1/2,y+1/2,-z'
'y,-x+1/2,z'
'-y,x+1/2,-z'
'x+1/2,-y,-z'
'-x+1/2,y,z'
'-y,-x,-z'
'y,x,z'
'-x,y+1/2,-z'
'x,-y+1/2,z'
'y+1/2,x+1/2,-z'
'-y+1/2,-x+1/2,z'
loop_
_atom_site_label
_atom_site_fract_x
_atom_site_fract_y
_atom_site_fract_z
Ho1 0.250 0.750 0.000
Th1 0.250 0.250 0.388
Se1 0.250 0.250 0.788
N1 0.250 0.750 0.500

(5)
# HoThSe2N PBE relaxed
# **Theoretical density**: 7.86 Mg/m³
# **Uncorrected energy**: -7.308 eV per atom
data_HoThSe2N
_chemical_formula_sum 'Ho2 Th2 Se4 N2'
_space_group_name_H-M_alt 'P 4/n m m'
_space_group_IT_number 129
_cell_length_a 4.059
_cell_length_b 4.059
_cell_length_c 14.595
_cell_angle_alpha 90.00
_cell_angle_beta 90.00
_cell_angle_gamma 90.00
loop_
_space_group_symop_operation_xyz
'x,y,z'
'-x,-y,-z'
'-y+1/2,x,z'
'y+1/2,-x,-z'
'-x+1/2,-y+1/2,z'
'x+1/2,y+1/2,-z'
'y,-x+1/2,z'
'-y,x+1/2,-z'
'x+1/2,-y,-z'
'-x+1/2,y,z'
'-y,-x,-z'
'y,x,z'
'-x,y+1/2,-z'
'x,-y+1/2,z'
'y+1/2,x+1/2,-z'
'-y+1/2,-x+1/2,z'
loop_
_atom_site_label
_atom_site_fract_x
_atom_site_fract_y
_atom_site_fract_z
Ho1 0.250 0.250 0.120
Th1 0.250 0.250 0.581
Se1 0.250 0.250 0.301
Se2 0.250 0.250 0.910
N1 0.250 0.750 0.500

(6)
# HoUSeN2 PBE relaxed
# **Theoretical density**: 9.54 Mg/m³
# **Uncorrected energy**: -8.787 eV per atom
data_HoUSeN2
_chemical_formula_sum 'Ho2 U2 Se2 N4'
_space_group_name_H-M_alt 'I 4 m m'
_space_group_IT_number 107
_space_group_name_Hall 'I 4 -2'
_cell_length_a 3.825
_cell_length_b 3.825
_cell_length_c 12.136
_cell_angle_alpha 90.00
_cell_angle_beta 90.00
_cell_angle_gamma 90.00
loop_
_atom_site_label
_atom_site_fract_x
_atom_site_fract_y
_atom_site_fract_z
Ho1 0.000 0.000 0.000
U1 0.000 0.000 0.316
Se1 0.000 0.000 0.658
N1 0.000 0.500 0.398

(7)
# Ho2ZrSe2N2 PBE relaxed
# **Theoretical density**: 7.70 Mg/m³
# **Uncorrected energy**: -7.458 eV per atom
data_Ho2ZrSe2N2
_chemical_formula_sum 'Ho4 Zr2 Se4 N4'
_space_group_name_H-M_alt 'I 4/m m m'
_space_group_IT_number 139
_space_group_name_Hall '-I 4 2'
_cell_length_a 4.214
_cell_length_b 4.214
_cell_length_c 14.742
_cell_angle_alpha 90.00
_cell_angle_beta 90.00
_cell_angle_gamma 90.00
loop_
_atom_site_label
_atom_site_fract_x
_atom_site_fract_y
_atom_site_fract_z
Ho1 0.000 0.000 0.111
Zr1 0.000 0.000 0.500
Se1 0.000 0.000 0.316
N1 0.000 0.500 0.000

(8)
# Ho4Si2N PBE relaxed
# **ΔE to the lowest computed polymorph**: 7 meV per atom
# **Theoretical density**: 8.27 Mg/m³
data_Ho4Si2N
_chemical_formula_sum 'Ho8 Si4 N2'
_space_group_name_H-M_alt 'C 1 2/m 1'
_space_group_IT_number 12
_space_group_name_Hall '-C 2y'
_cell_length_a 14.347
_cell_length_b 3.659
_cell_length_c 5.702
_cell_angle_alpha 90.00
_cell_angle_beta 101.73
_cell_angle_gamma 90.00
loop_
_atom_site_label
_atom_site_fract_x
_atom_site_fract_y
_atom_site_fract_z
Ho1 0.070 0.000 0.272
Ho2 0.140 0.500 0.840
Si1 0.235 0.500 0.362
N1 0.000 0.500 0.000

(9)
# Ho3SiN PBE relaxed
# **Theoretical density**: 8.76 Mg/m³
# **Uncorrected energy**: -6.425 eV per atom
data_Ho3SiN
_chemical_formula_sum 'Ho3 Si1 N1'
_space_group_name_H-M_alt 'P m -3 m'
_space_group_IT_number 221
_space_group_name_Hall '-P 4 2 3'
_cell_length_a 4.668
_cell_length_b 4.668
_cell_length_c 4.668
_cell_angle_alpha 90.00
_cell_angle_beta 90.00
_cell_angle_gamma 90.00
loop_
_atom_site_label
_atom_site_fract_x
_atom_site_fract_y
_atom_site_fract_z
Ho1 0.000 0.000 0.500
Si1 0.500 0.500 0.500
N1 0.000 0.000 0.000

(10)
# Ho3SiN4 PBE relaxed
# **Theoretical density**: 7.96 Mg/m³
# **Uncorrected energy**: -7.909 eV per atom
data_Ho3SiN4
_chemical_formula_sum 'Ho6 Si2 N8'
_space_group_name_H-M_alt 'P m n 21'
_space_group_IT_number 31
_space_group_name_Hall 'P 2ac -2'
_cell_length_a 7.319
_cell_length_b 6.424
_cell_length_c 5.138
_cell_angle_alpha 90.00
_cell_angle_beta 90.00
_cell_angle_gamma 90.00
loop_
_atom_site_label
_atom_site_fract_x
_atom_site_fract_y
_atom_site_fract_z
Ho1 0.000 0.158 0.000
Ho2 0.249 0.666 0.000
Si1 0.000 0.833 0.461
N1 0.000 0.109 0.543
N2 0.000 0.834 0.117
N3 0.206 0.699 0.546

(11)
# Ho4Si2N PBE relaxed
# **ΔE to the lowest computed polymorph**: 0 meV per atom
# **Theoretical density**: 7.77 Mg/m³
data_Ho4Si2N
_chemical_formula_sum 'Ho8 Si4 N2'
_space_group_name_H-M_alt 'I 4/m m m'
_space_group_IT_number 139
_space_group_name_Hall '-I 4 2'
_cell_length_a 4.544
_cell_length_b 4.544
_cell_length_c 15.104
_cell_angle_alpha 90.00
_cell_angle_beta 90.00
_cell_angle_gamma 90.00
loop_
_atom_site_label
_atom_site_fract_x
_atom_site_fract_y
_atom_site_fract_z
Ho1 0.000 0.000 0.170
Ho2 0.000 0.500 0.000
Si1 0.000 0.000 0.363
N1 0.000 0.000 0.000

(12)
# Ho12Si3N5 PBE relaxed
# **Theoretical density**: 8.22 Mg/m³
# **Uncorrected energy**: -6.618 eV per atom
data_Ho12Si3N5
_chemical_formula_sum 'Ho96 Si24 N40'
_space_group_name_H-M_alt 'I a -3 d'
_space_group_IT_number 230
_space_group_name_Hall '-I 4bd 2c 3'
_cell_length_a 15.105
_cell_length_b 15.105
_cell_length_c 15.105
_cell_angle_alpha 90.00
_cell_angle_beta 90.00
_cell_angle_gamma 90.00
loop_
_atom_site_label
_atom_site_fract_x
_atom_site_fract_y
_atom_site_fract_z
Ho1 0.033 0.054 0.650
Si1 0.000 0.250 0.125
N1 0.000 0.000 0.000
N2 0.000 0.250 0.375

(13)
# SrHoSiN3 PBE relaxed
# **Theoretical density**: 6.49 Mg/m³
# **Uncorrected energy**: -7.062 eV per atom
data_SrHoSiN3
_chemical_formula_sum 'Sr4 Ho4 Si4 N12'
_space_group_name_H-M_alt 'C 1 2/m 1'
_space_group_IT_number 12
_space_group_name_Hall '-C 2y'
_cell_length_a 12.590
_cell_length_b 3.776
_cell_length_c 7.225
_cell_angle_alpha 90.00
_cell_angle_beta 106.12
_cell_angle_gamma 90.00
loop_
_atom_site_label
_atom_site_fract_x
_atom_site_fract_y
_atom_site_fract_z
Sr1 0.148 0.000 0.072
Ho1 0.152 0.000 0.576
Si1 0.004 0.500 0.274
N1 0.004 0.000 0.286
N2 0.145 0.500 0.798
N3 0.154 0.500 0.345

(14)
# SmHo3N4 PBE relaxed
# **ΔE to the lowest computed polymorph**: 8 meV per atom
# **Theoretical density**: 9.70 Mg/m³
data_SmHo3N4
_chemical_formula_sum 'Sm1 Ho3 N4'
_space_group_name_H-M_alt 'P m -3 m'
_space_group_IT_number 221
_space_group_name_Hall '-P 4 2 3'
_cell_length_a 4.932
_cell_length_b 4.932
_cell_length_c 4.932
_cell_angle_alpha 90.00
_cell_angle_beta 90.00
_cell_angle_gamma 90.00
loop_
_atom_site_label
_atom_site_fract_x
_atom_site_fract_y
_atom_site_fract_z
Sm1 0.000 0.000 0.000
Ho1 0.000 0.500 0.500
N1 0.000 0.000 0.500
N2 0.500 0.500 0.500

(15)
# Sm2Ho3N4 PBE relaxed
# **Theoretical density**: 9.16 Mg/m³
# **Uncorrected energy**: -7.723 eV per atom
data_Sm2Ho3N4
_chemical_formula_sum 'Sm4 Ho6 N8'
_space_group_name_H-M_alt 'C 1 2/m 1'
_space_group_IT_number 12
_space_group_name_Hall '-C 2y'
_cell_length_a 11.659
_cell_length_b 3.494
_cell_length_c 8.673
_cell_angle_alpha 90.00
_cell_angle_beta 119.14
_cell_angle_gamma 90.00
loop_
_atom_site_label
_atom_site_fract_x
_atom_site_fract_y
_atom_site_fract_z
Sm1 0.104 0.000 0.388
Ho1 0.000 0.500 0.000
Ho2 0.208 0.500 0.815
N1 0.105 0.000 0.907
N2 0.199 0.500 0.294

(16)
# Sm3Ho2N4 PBE relaxed
# **Theoretical density**: 8.75 Mg/m³
# **Uncorrected energy**: -7.690 eV per atom
data_Sm3Ho2N4
_chemical_formula_sum 'Sm6 Ho4 N8'
_space_group_name_H-M_alt 'C 1 2/m 1'
_space_group_IT_number 12
_space_group_name_Hall '-C 2y'
_cell_length_a 6.111
_cell_length_b 3.529
_cell_length_c 14.738
_cell_angle_alpha 90.00
_cell_angle_beta 90.08
_cell_angle_gamma 90.00
loop_
_atom_site_label
_atom_site_fract_x
_atom_site_fract_y
_atom_site_fract_z
Sm1 0.000 0.000 0.000
Sm2 0.166 0.500 0.619
Ho1 0.167 0.500 0.190
N1 0.001 0.000 0.295
N2 0.166 0.500 0.896

(17)
# SmHo3N4 PBE relaxed
# **ΔE to the lowest computed polymorph**: 0 meV per atom
# **Theoretical density**: 9.72 Mg/m³
data_SmHo3N4
_chemical_formula_sum 'Sm2 Ho6 N8'
_space_group_name_H-M_alt 'P 1 2/c 1'
_space_group_IT_number 13
_space_group_name_Hall '-P 2yc'
_cell_length_a 6.036
_cell_length_b 6.976
_cell_length_c 6.035
_cell_angle_alpha 90.00
_cell_angle_beta 109.46
_cell_angle_gamma 90.00
loop_
_atom_site_label
_atom_site_fract_x
_atom_site_fract_y
_atom_site_fract_z
Sm1 0.000 0.126 0.250
Ho1 0.000 0.376 0.750
Ho2 0.500 0.127 0.750
Ho3 0.500 0.376 0.250
N1 0.252 0.378 0.504
N2 0.257 0.129 0.999

(18)
# SmHo4N5 PBE relaxed
# **Theoretical density**: 9.81 Mg/m³
# **Uncorrected energy**: -8.146 eV per atom
data_SmHo4N5
_chemical_formula_sum 'Sm2 Ho8 N10'
_space_group_name_H-M_alt 'I 4/m m m'
_space_group_IT_number 139
_space_group_name_Hall '-I 4 2'
_cell_length_a 3.481
_cell_length_b 3.481
_cell_length_c 24.596
_cell_angle_alpha 90.00
_cell_angle_beta 90.00
_cell_angle_gamma 90.00
loop_
_atom_site_label
_atom_site_fract_x
_atom_site_fract_y
_atom_site_fract_z
Sm1 0.000 0.000 0.000
Ho1 0.000 0.000 0.201
Ho2 0.000 0.000 0.398
N1 0.000 0.000 0.103
N2 0.000 0.000 0.300
N3 0.000 0.000 0.500

(19)
# SmHoN PBE relaxed
# **ΔE to the lowest computed polymorph**: 0 meV per atom
# **Theoretical density**: 8.29 Mg/m³
data_SmHoN
_chemical_formula_sum 'Sm1 Ho1 N1'
_space_group_name_H-M_alt 'P 3 m 1'
_space_group_IT_number 156
_space_group_name_Hall 'P 3 -2"'
_cell_length_a 3.5228
_cell_length_b 3.5228
_cell_length_c 6.1335
_cell_angle_alpha 90.00
_cell_angle_beta 90.00
_cell_angle_gamma 120.00
loop_
_atom_site_label
_atom_site_fract_x
_atom_site_fract_y
_atom_site_fract_z
Sm1 0.0000 0.0000 0.0000
Ho1 0.3333 0.6667 0.4413
N1 0.6667 0.3333 0.2425

(20)
# SmHo5N6 PBE relaxed
# **Theoretical density**: 9.88 Mg/m³
# **Uncorrected energy**: -8.157 eV per atom
data_SmHo5N6
_chemical_formula_sum 'Sm2 Ho10 N12'
_space_group_name_H-M_alt 'C 1 2/m 1'
_space_group_IT_number 12
_space_group_name_Hall '-C 2y'
_cell_length_a 6.018
_cell_length_b 10.424
_cell_length_c 6.017
_cell_angle_alpha 90.00
_cell_angle_beta 109.47
_cell_angle_gamma 90.00
loop_
_atom_site_label
_atom_site_fract_x
_atom_site_fract_y
_atom_site_fract_z
Sm1 0.000 0.000 0.000
Ho1 0.000 0.167 0.500
Ho2 0.000 0.333 0.000
Ho3 0.000 0.500 0.500
N1 0.245 0.500 0.253
N2 0.246 0.331 0.747